[1]
DFT (PBE) results for a geometry-optimized CaAg2Br structure.

Unit cell a=5.1884 b=5.1884 c=5.1884 alpha=60.00 beta=60.00 gamma=60.00
Element x y z (fractional)
Ca1 0.0000 0.0000 0.0000
Br1 0.5000 0.5000 0.5000
Ag1 0.2500 0.2500 0.2500
Ag2 0.7500 0.7500 0.7500

Values from the calculation:
**Formation energy from raw total energies**: -0.069 eV per atom
**Space group**: Fm-3m (225)
**Polymorph energy (0 for the lowest one)**: 504 meV per atom

***

[2]
DFT (PBE) results for a geometry-optimized CsCa structure.

Unit cell a=12.8385 b=12.8385 c=12.8385 alpha=90.00 beta=90.00 gamma=90.00
Element x y z (fractional)
Cs1 0.2500 0.5000 0.0000
Cs2 0.7500 0.5000 0.0000
Cs3 0.5000 0.0000 0.2500
Cs4 0.5000 0.0000 0.7500
Cs5 0.0000 0.2500 0.5000
Cs6 0.0000 0.7500 0.5000
Ca1 0.2500 0.0000 0.5000
Ca2 0.7500 0.0000 0.5000
Ca3 0.0000 0.5000 0.2500
Ca4 0.0000 0.5000 0.7500
Ca5 0.5000 0.2500 0.0000
Ca6 0.5000 0.7500 0.0000

Values from the calculation:
**Space group**: Pm-3n (223)
**Formation energy from the elements**: 0.825 eV/atom

***

[3]
DFT (PBE) results for a geometry-optimized Nb2B2Ir structure.

Unit cell a=3.3440 b=4.8051 c=4.8051 alpha=60.04 beta=69.64 gamma=69.64
Element x y z (fractional)
Nb1 0.7960 0.7040 0.7040
Nb2 0.2040 0.2960 0.2960
B1 0.5000 0.6890 0.3110
B2 0.5000 0.3110 0.6890
Ir1 0.0000 0.0000 0.0000

Values from the calculation:
**Space group**: Immm (71)
**Polymorph energy (0 for the lowest one)**: 0 meV per atom
**Formation energy from the elements**: -0.687 eV/atom

***

[4]
DFT (PBE) results for a geometry-optimized RbLi2AgF8 structure.

Unit cell a=4.9399 b=4.7270 c=7.8843 alpha=81.84 beta=86.74 gamma=88.87
Element x y z (fractional)
Rb1 0.0000 0.0000 0.5000
Li1 0.5197 0.5144 0.8208
Li2 0.4803 0.4856 0.1792
Ag1 0.0000 0.0000 0.0000
F1 0.1582 0.7406 0.1978
F2 0.6768 0.7175 0.9932
F3 0.7978 0.1780 0.1779
F4 0.8418 0.2594 0.8022
F5 0.3232 0.2825 0.0068
F6 0.2022 0.8220 0.8221
F7 0.5110 0.6511 0.5735
F8 0.4890 0.3489 0.4265

Values from the calculation:
**Formation energy from raw total energies**: -1.801 eV per atom
**Space group**: P-1 (2)

***

[5]
DFT (PBE) results for a geometry-optimized Ni3Hg2Se4 structure.

Unit cell a=9.3634 b=9.3634 c=9.3634 alpha=146.80 beta=110.74 gamma=78.99
Element x y z (fractional)
Ni1 0.4978 0.7500 0.7478
Ni2 0.0022 0.7500 0.2522
Ni3 0.9978 0.2500 0.7478
Ni4 0.7500 0.2500 0.5000
Ni5 0.5022 0.2500 0.2522
Ni6 0.2500 0.7500 0.5000
Hg1 0.6271 0.7637 0.3907
Hg2 0.1271 0.7363 0.8634
Hg3 0.8729 0.2637 0.1366
Hg4 0.3729 0.2363 0.6093
Se1 0.9669 0.0897 0.3718
Se2 0.2179 0.5897 0.1228
Se3 0.5331 0.9049 0.1228
Se4 0.0331 0.9103 0.6282
Se5 0.7821 0.4103 0.8772
Se6 0.4669 0.0951 0.8772
Se7 0.2821 0.4049 0.3718
Se8 0.7179 0.5951 0.6282

Values from the calculation:
**Formation energy from raw total energies**: -0.108 eV per atom
**Space group**: Ibam (72)
**Polymorph energy (0 for the lowest one)**: 42 meV per atom

***

[6]
DFT (PBE) results for a geometry-optimized Tl2HgIr structure.

Unit cell a=3.1917 b=3.1917 c=9.3838 alpha=90.00 beta=90.00 gamma=89.95
Element x y z (fractional)
Hg1 0.5000 0.5000 0.2500
Ir1 0.5000 0.5000 0.7500
Tl1 0.0000 0.0000 0.9493
Tl2 0.0000 0.0000 0.5507

Values from the calculation:
**Space group**: P4/mmm (123)
**Polymorph energy (0 for the lowest one)**: 100 meV per atom
**Formation energy from the elements**: 0.346 eV/atom

***

[7]
DFT (PBE) results for a geometry-optimized Ac8Ir3Cl3O structure.

Unit cell a=8.8638 b=8.5517 c=9.1324 alpha=117.12 beta=90.00 gamma=121.21
Element x y z (fractional)
Ac1 0.2645 0.5290 0.2942
Ac2 0.7355 0.4710 0.7058
Ac3 0.7967 0.5934 0.3220
Ac4 0.2033 0.4066 0.6780
Ac5 0.7490 0.0326 0.2812
Ac6 0.2510 0.9674 0.7188
Ac7 0.2836 0.0326 0.2812
Ac8 0.7164 0.9674 0.7188
Ir1 0.5000 0.0000 0.5000
Ir2 0.5000 0.5000 0.5000
Ir3 0.0000 0.5000 0.5000
Cl1 0.0000 0.0000 0.0000
Cl2 0.0000 0.5000 0.0000
Cl3 0.5000 0.5000 0.0000
O1 0.0000 0.0000 0.5000

Values from the calculation:
**Formation energy from raw total energies**: -1.278 eV per atom
**Space group**: C2/m (12)